VASP calculation (PBE-GGA) on an optimized crystal structure of HfFeSe2.

a = 5.532 Å, b = 5.532 Å, c = 12.191 Å
α = 90.00°, β = 90.00°, γ = 90.00°
Space group I-42d (No. 122)
One atom of each set of equivalent atoms:
Hf: 0.000 0.000 0.000 x4
Fe: 0.000 0.000 0.500 x4
Se: 0.217 0.250 0.625 x8

Relative energy among the computed polymorphs, kcal/mol of atoms: 1.34
Calculated total energy, eV per formula unit: -26.716
D(E_F), states/eV per cell: 18.1
Density, kg/m³: 6983

=====

VASP calculation (PBE-GGA) on an optimized crystal structure of Na2SiB2O6.

a = 8.293 Å, b = 4.884 Å, c = 5.845 Å
α = 90.00°, β = 116.67°, γ = 90.00°
Space group C2/m (No. 12)
One atom of each set of equivalent atoms:
Na: 0.198 0.000 0.135 x4
Si: 0.000 0.000 0.500 x2
B: 0.083 0.500 0.307 x4
O: 0.015 0.257 0.731 x8
O: 0.241 0.000 0.642 x4

Calculated total energy, eV per formula unit: -76.521
D(E_F), states/eV per cell: 0.0
Density, kg/m³: 3009